[1]
CsAlTeS4: relaxed, PBE.

V, Å³/f.u.: 221
Size of the total moment, μB per cell: 0.0
Raw formation energy, eV per atom: -0.657

Unit cell a=7.014 b=6.976 c=9.584 alpha=90.00 beta=109.27 gamma=90.00
Space group P2_1/m (No. 11)
Unique sites:
Cs: 0.222 0.250 0.454 [2 per cell]
Al: 0.235 0.750 0.159 [2 per cell]
Te: 0.268 0.250 0.010 [2 per cell]
S: 0.029 0.750 0.918 [2 per cell]
S: 0.032 0.750 0.289 [2 per cell]
S: 0.459 0.501 0.191 [4 per cell]

---

[2]
CsAlTl2S: relaxed, PBE.

V, Å³/f.u.: 216
Size of the total moment, μB per cell: 0.0
Raw formation energy, eV per atom: 0.280

Unit cell a=5.811 b=5.811 c=6.411 alpha=90.00 beta=90.00 gamma=90.00
Space group P4/mmm (No. 123)
Unique sites:
Cs: 0.000 0.000 0.000 [1 per cell]
Al: 0.500 0.500 0.000 [1 per cell]
Tl: 0.000 0.500 0.500 [2 per cell]
S: 0.000 0.000 0.500 [1 per cell]

---

[3]
Cs3Tm3AlS8: relaxed, PBE.

V, Å³/f.u.: 436
Size of the total moment, μB per cell: 0.0
Raw formation energy, eV per atom: -1.554

Unit cell a=13.560 b=7.821 c=9.383 alpha=90.00 beta=118.85 gamma=90.00
Space group C2/m (No. 12)
Unique sites:
Cs: 0.000 0.000 0.000 [2 per cell]
Cs: 0.250 0.250 0.000 [4 per cell]
Tm: 0.000 0.500 0.500 [2 per cell]
Tm: 0.250 0.250 0.500 [4 per cell]
Al: 0.000 0.000 0.500 [2 per cell]
S: 0.021 0.232 0.331 [8 per cell]
S: 0.211 0.000 0.669 [4 per cell]
S: 0.227 0.500 0.680 [4 per cell]